Computed, not measured: crystalline Tb2Sm3Tl3 at its relaxed geometry at the PBE level of DFT.

Values from the calculation:
Its formation energy is -0.27 eV per atom. As for the electronic total energy: -4.082 eV/atom.

Lattice parameters (Å, degrees): 11.0468 11.0468 11.0468 156.78 153.66 35.40
Fractional coordinates of all 8 atoms:
Tb 0.2370 0.2370 0.0000
Tb 0.7630 0.7630 0.0000
Sm 0.0000 0.0000 0.0000
Sm 0.3806 0.8806 0.5000
Sm 0.6194 0.1194 0.5000
Tl 0.1283 0.6283 0.5000
Tl 0.5000 0.5000 0.0000
Tl 0.8717 0.3717 0.5000